Record 1
Material: Cs3RbSn2I9
Method: DFT, GGA-PBE
State: relaxed

Lattice parameters (Å, degrees): 8.7232 8.7232 12.4298 90.00 90.00 120.00
Closest atoms and distances in Å follow each position.
Fractional positions:
Cs: 0.3333 0.6667 0.7493  9 I 4.01-4.38
Cs: 0.0000 0.0000 0.0000  12 I 4.36
Cs: 0.6667 0.3333 0.2507  9 I 4.01-4.38
Rb: 0.0000 0.0000 0.5000  6 I 3.65
Sn: 0.3333 0.6667 0.1573  6 I 2.99-3.19
Sn: 0.6667 0.3333 0.8427  6 I 2.99-3.19
I: 0.8336 0.1664 0.7130  1 Sn 2.99
I: 0.8336 0.6673 0.7130  1 Sn 2.99
I: 0.3327 0.1664 0.7130  1 Sn 2.99
I: 0.6673 0.8336 0.2870  1 Sn 2.99
I: 0.1664 0.3327 0.2870  1 Sn 2.99
I: 0.1664 0.8336 0.2870  1 Sn 2.99
I: 0.5000 0.0000 0.0000  2 Sn 3.19
I: 0.0000 0.5000 0.0000  2 Sn 3.19
I: 0.5000 0.5000 0.0000  2 Sn 3.19

For the total moment, the calculation gives 0.00 μB/f.u. Its space group is No. 164. Its calculated density is 3.78 g/cm3. The calculation puts the total energy at -2.715 eV per atom.

Record 2
Material: CsRb2SnI5
Method: DFT, GGA-PBE
State: relaxed

Lattice parameters (Å, degrees): 5.4377 11.7620 15.0047 90.00 90.00 103.37
Closest atoms and distances in Å follow each position.
Fractional positions:
Cs: 0.7825 0.5649 0.5156  6 I 3.82-3.93
Cs: 0.2175 0.4350 0.0156  6 I 3.82-3.93
Rb: 0.8683 0.7366 0.8032  6 I 3.77-4.04
Rb: 0.1082 0.2163 0.6860  8 I 3.84-4.10
Rb: 0.1317 0.2634 0.3032  6 I 3.77-4.04
Rb: 0.8918 0.7837 0.1860  8 I 3.84-4.10
Sn: 0.5263 0.0526 0.9475  5 I 3.02-3.35
Sn: 0.4737 0.9474 0.4475  5 I 3.02-3.35
I: 0.3843 0.7686 0.0007  1 Sn 3.35
I: 0.6503 0.3005 0.8639  1 Sn 3.10
I: 0.4840 0.9680 0.7567  1 Sn 3.02
I: 0.2757 0.5514 0.7012  3 Rb 3.77-3.84, 2 Cs 3.89
I: 0.9529 0.9058 0.5491  2 Sn 3.15
I: 0.6157 0.2314 0.5007  1 Sn 3.35
I: 0.3497 0.6995 0.3639  1 Sn 3.10
I: 0.5160 0.0320 0.2567  1 Sn 3.02
I: 0.7243 0.4486 0.2012  3 Rb 3.77-3.84, 2 Cs 3.89
I: 0.0471 0.0942 0.0491  2 Sn 3.15

For the total moment, the calculation gives 0.00 μB/f.u. Its space group is No. 36. Its calculated density is 3.76 g/cm3. The calculation puts the total energy at -2.765 eV per atom.

Record 3
Material: CsRb2SrI6
Method: DFT, GGA-PBE
State: relaxed

Lattice parameters (Å, degrees): 9.6796 9.6796 9.6797 60.00 60.00 90.00
Closest atoms and distances in Å follow each position.
Fractional positions:
Cs: 0.0000 0.0000 0.0000  6 I 3.63
I: 0.2649 0.2649 0.4702  1 Sr 3.22
I: 0.7351 0.7351 0.5298  1 Sr 3.22
I: 0.2649 0.2649 0.0000  1 Sr 3.22
I: 0.7351 0.7351 0.0000  1 Sr 3.22
I: 0.7351 0.2649 0.0000  1 Sr 3.22
I: 0.2649 0.7351 0.0000  1 Sr 3.22
Rb: 0.7500 0.2500 0.5000  12 I 4.84
Rb: 0.2500 0.7500 0.5000  12 I 4.84
Sr: 0.5000 0.5000 0.0000  6 I 3.22

For the total moment, the calculation gives 1.00 μB/f.u. Its space group is No. 225. Its calculated density is 2.99 g/cm3. The calculation puts the total energy at -2.594 eV per atom.

Record 4
Material: CsRbSrI4
Method: DFT, GGA-PBE
State: relaxed

Lattice parameters (Å, degrees): 6.4210 6.4210 10.6008 107.63 107.63 90.00
Closest atoms and distances in Å follow each position.
Fractional positions:
Cs: 0.6388 0.6388 0.2776  1 I 3.71
Rb: 0.3612 0.3612 0.7225  1 I 3.64
Sr: 0.0014 0.0014 0.0028  6 I 3.21-3.26
I: 0.9973 0.4973 0.9946  2 Sr 3.21
I: 0.4973 0.9973 0.9946  2 Sr 3.21
I: 0.8327 0.8327 0.6653  1 Sr 3.23
I: 0.1714 0.1714 0.3427  1 Sr 3.26, 1 Rb 3.64

For the total moment, the calculation gives 0.00 μB/f.u. Its space group is No. 107. Its calculated density is 3.42 g/cm3. The calculation puts the total energy at -2.958 eV per atom.

Record 5
Material: Cs2RbSrI5
Method: DFT, GGA-PBE
State: relaxed

Lattice parameters (Å, degrees): 6.2770 8.9228 10.8315 114.32 106.84 90.00
Closest atoms and distances in Å follow each position.
Fractional positions:
Cs: 0.2048 0.2048 0.4096  7 I 3.83-4.14
Cs: 0.7952 0.7952 0.5904  7 I 3.83-4.14
Rb: 0.0000 0.5000 0.0000  10 I 4.46-4.50
Sr: 0.5000 0.0000 0.0000  6 I 3.14-3.28
I: 0.6267 0.8722 0.2533  1 Sr 3.28
I: 0.3733 0.1278 0.7467  1 Sr 3.28
I: 0.3733 0.6189 0.7467  1 Sr 3.28
I: 0.6267 0.3811 0.2533  1 Sr 3.28
I: 0.0000 0.0000 0.0000  2 Sr 3.14

For the total moment, the calculation gives 0.00 μB/f.u. Its space group is No. 71. Its calculated density is 3.40 g/cm3. The calculation puts the total energy at -2.894 eV per atom.

Record 6
Material: Cs4Rb3SrI8
Method: DFT, GGA-PBE
State: relaxed

Lattice parameters (Å, degrees): 10.7615 10.9617 10.7567 119.41 120.01 90.00
Closest atoms and distances in Å follow each position.
Fractional positions:
Cs: 0.5000 0.0000 0.0000  6 I 4.28-4.29
Cs: 0.5000 0.0000 0.5000  6 I 3.92-3.94
Cs: 0.0000 0.0000 0.0000  6 I 3.92-3.94
Cs: 0.0000 0.0000 0.5000  6 I 3.92-3.94
Rb: 0.5000 0.5000 0.0000  6 I 3.76-3.80
Rb: 0.5000 0.5000 0.5000  6 I 3.77-3.80
Rb: 0.0000 0.5000 0.5000  6 I 3.77-3.80
Sr: 0.0000 0.5000 0.0000  6 I 3.39
I: 0.2206 0.7126 0.9919  1 Sr 3.39, 1 Rb 3.79
I: 0.2212 0.7133 0.4424  1 Sr 3.39, 2 Rb 3.80
I: 0.2548 0.2644 0.5097  3 Rb 3.76-3.77, 3 Cs 3.92
I: 0.7713 0.7126 0.9919  1 Sr 3.39, 1 Rb 3.79
I: 0.2287 0.2874 0.0081  1 Sr 3.39, 1 Rb 3.79
I: 0.7452 0.7356 0.4904  3 Rb 3.76-3.77, 3 Cs 3.92
I: 0.7788 0.2868 0.5576  1 Sr 3.39, 2 Rb 3.80
I: 0.7794 0.2874 0.0081  1 Sr 3.39, 1 Rb 3.79

For the total moment, the calculation gives 0.00 μB/f.u. Its space group is No. 12. Its calculated density is 3.47 g/cm3. The calculation puts the total energy at -2.727 eV per atom.

Record 7
Material: CsRb2SrI4
Method: DFT, GGA-PBE
State: relaxed

Lattice parameters (Å, degrees): 5.0270 9.9105 9.3352 106.27 90.00 90.00
Closest atoms and distances in Å follow each position.
Fractional positions:
Cs: 0.0000 0.0000 0.0000  6 I 3.97-4.01
Rb: 0.5000 0.0000 0.5000  6 I 4.33-4.38
Rb: 0.0000 0.5000 0.5000  6 I 3.76-3.79
Sr: 0.5000 0.5000 0.0000  6 I 3.33-3.38
I: 0.5000 0.2931 0.2260  1 Sr 3.33
I: 0.5000 0.7069 0.7740  1 Sr 3.33
I: 0.0000 0.3091 0.7995  2 Sr 3.38
I: 0.0000 0.6909 0.2005  2 Sr 3.38

For the total moment, the calculation gives 0.00 μB/f.u. Its space group is No. 10. Its calculated density is 3.34 g/cm3. The calculation puts the total energy at -2.705 eV per atom.

Record 8
Material: CsRb2TaI8
Method: DFT, GGA-PBE
State: relaxed

Lattice parameters (Å, degrees): 6.9438 9.0835 11.1179 90.00 89.99 114.32
Closest atoms and distances in Å follow each position.
Fractional positions:
Cs: 0.0000 0.0000 0.5000  8 I 3.91-4.36
Rb: 0.5001 0.4998 0.7254  4 I 3.53-3.90
Rb: 0.4999 0.5002 0.2746  4 I 3.53-3.90
Ta: 0.0000 0.0000 0.0000  6 I 2.77-2.78
I: 0.0815 0.8175 0.1771  1 Ta 2.78
I: 0.5774 0.7865 0.9999  1 Ta 2.77
I: 0.9182 0.1823 0.1771  1 Ta 2.78
I: 0.9185 0.1825 0.8229  1 Ta 2.78
I: 0.4226 0.2135 0.0001  1 Ta 2.77
I: 0.0818 0.8177 0.8229  1 Ta 2.78
I: 0.3931 0.7291 0.5002  2 Rb 3.53, 1 Cs 3.91
I: 0.6069 0.2709 0.4998  2 Rb 3.53, 1 Cs 3.91

For the total moment, the calculation gives 0.00 μB/f.u. Its space group is No. 10. Its calculated density is 3.90 g/cm3. The calculation puts the total energy at -3.171 eV per atom.

Record 9
Material: Cs2RbTaI6
Method: DFT, GGA-PBE
State: relaxed

Lattice parameters (Å, degrees): 8.9343 8.9343 8.9342 60.00 60.00 90.00
Closest atoms and distances in Å follow each position.
Fractional positions:
Cs: 0.7500 0.2500 0.5000  12 I 4.48
Cs: 0.2500 0.7500 0.5000  12 I 4.48
I: 0.2249 0.2249 0.5503  1 Ta 2.84
I: 0.7751 0.7751 0.4497  1 Ta 2.84
I: 0.2249 0.2249 0.0000  1 Ta 2.84
I: 0.7751 0.7751 0.0000  1 Ta 2.84
I: 0.7751 0.2249 0.0000  1 Ta 2.84
I: 0.2249 0.7751 0.0000  1 Ta 2.84
Rb: 0.5000 0.5000 0.0000  6 I 3.48
Ta: 0.0000 0.0000 0.0000  6 I 2.84

For the total moment, the calculation gives 2.00 μB/f.u. Its space group is No. 225. Its calculated density is 4.26 g/cm3. The calculation puts the total energy at -3.351 eV per atom.

Record 10
Material: Cs2RbTcI6
Method: DFT, GGA-PBE
State: relaxed

Lattice parameters (Å, degrees): 8.3908 9.5543 12.4624 90.00 90.00 90.00
Closest atoms and distances in Å follow each position.
Fractional positions:
Cs: 0.5000 0.8013 0.2230  9 I 3.94-4.38
Cs: 0.0000 0.1987 0.7230  9 I 3.94-4.38
Cs: 0.5000 0.8013 0.7770  9 I 3.94-4.38
Cs: 0.0000 0.1987 0.2770  9 I 3.94-4.38
Rb: 0.0000 0.6990 0.5000  6 I 3.56-3.64
Rb: 0.5000 0.3010 0.0000  6 I 3.56-3.64
Tc: 0.5000 0.2058 0.5000  6 I 2.76-2.78
Tc: 0.0000 0.7942 0.0000  6 I 2.76-2.78
I: 0.5000 0.2076 0.2779  1 Tc 2.77
I: 0.5000 0.2076 0.7221  1 Tc 2.77
I: 0.0000 0.7924 0.2221  1 Tc 2.77
I: 0.0000 0.7924 0.7779  1 Tc 2.77
I: 0.2697 0.9972 0.5000  1 Tc 2.78
I: 0.7303 0.9972 0.5000  1 Tc 2.78
I: 0.2654 0.4086 0.5000  1 Tc 2.76
I: 0.7346 0.4086 0.5000  1 Tc 2.76
I: 0.7654 0.5914 0.0000  1 Tc 2.76
I: 0.2346 0.5914 0.0000  1 Tc 2.76
I: 0.2303 0.0028 0.0000  1 Tc 2.78
I: 0.7697 0.0028 0.0000  1 Tc 2.78

For the total moment, the calculation gives 2.00 μB/f.u. Its space group is No. 59. Its calculated density is 4.02 g/cm3. The calculation puts the total energy at -3.112 eV per atom.